Crystalline ErMnAgPt at its relaxed geometry, computed with GGA-PBE.

CIF file:
```
data_ErMnAgPt
_chemical_formula_sum 'Er4 Mn4 Ag4 Pt4'
_space_group_name_H-M_alt 'F -4 3 m'
_space_group_IT_number 216
_space_group_name_Hall 'F -4 2 3'
_cell_length_a 6.714
_cell_length_b 6.714
_cell_length_c 6.714
_cell_angle_alpha 90.00
_cell_angle_beta 90.00
_cell_angle_gamma 90.00
loop_
_atom_site_label
_atom_site_fract_x
_atom_site_fract_y
_atom_site_fract_z
Er1 0.000 0.000 0.000
Mn1 0.000 0.000 0.500
Ag1 0.250 0.250 0.250
Pt1 0.250 0.250 0.750
```

Summary:
DOS at the Fermi energy = 0.5214 states/eV per atom
Uncorrected energy = -97.269 eV/cell

Crystalline Nd3SmEr2As6 at its relaxed geometry, computed with GGA-PBE.

CIF file:
```
data_Nd3SmEr2As6
_chemical_formula_sum 'Nd6 Sm2 Er4 As12'
_space_group_name_H-M_alt 'C 1 2/m 1'
_space_group_IT_number 12
_space_group_name_Hall '-C 2y'
_cell_length_a 7.278
_cell_length_b 12.604
_cell_length_c 7.273
_cell_angle_alpha 90.00
_cell_angle_beta 109.47
_cell_angle_gamma 90.00
loop_
_atom_site_label
_atom_site_fract_x
_atom_site_fract_y
_atom_site_fract_z
Nd1 0.000 0.000 0.000
Nd2 0.000 0.334 0.000
Sm1 0.000 0.500 0.500
Er1 0.000 0.167 0.500
As1 0.242 0.000 0.740
As2 0.249 0.331 0.741
```

Summary:
DOS at the Fermi energy = 0.1444 states/eV per atom
Uncorrected energy = -148.297 eV/cell

Crystalline ZrFe5Re7 at its relaxed geometry, computed with GGA-PBE.

CIF file:
```
data_ZrFe5Re7
_chemical_formula_sum 'Zr2 Fe10 Re14'
_space_group_name_H-M_alt 'I m m 2'
_space_group_IT_number 44
_space_group_name_Hall 'I 2 -2'
_cell_length_a 4.836
_cell_length_b 8.638
_cell_length_c 8.749
_cell_angle_alpha 90.00
_cell_angle_beta 90.00
_cell_angle_gamma 90.00
loop_
_atom_site_label
_atom_site_fract_x
_atom_site_fract_y
_atom_site_fract_z
Zr1 0.000 0.000 0.000
Fe1 0.000 0.500 0.038
Fe2 0.237 0.228 0.560
Re1 0.000 0.000 0.388
Re2 0.000 0.000 0.681
Re3 0.000 0.299 0.817
Re4 0.000 0.346 0.311
Re5 0.000 0.500 0.605
```

Summary:
DOS at the Fermi energy = 0.8916 states/eV per atom
Uncorrected energy = -273.590 eV/cell

Crystalline Rb2PrErO4 at its relaxed geometry, computed with GGA-PBE.

CIF file:
```
data_Rb2PrErO4
_chemical_formula_sum 'Rb2 Pr1 Er1 O4'
_space_group_name_H-M_alt 'P 1 2/m 1'
_space_group_IT_number 10
_space_group_name_Hall '-P 2y'
_cell_length_a 6.219
_cell_length_b 3.591
_cell_length_c 6.904
_cell_angle_alpha 90.00
_cell_angle_beta 107.40
_cell_angle_gamma 90.00
loop_
_atom_site_label
_atom_site_fract_x
_atom_site_fract_y
_atom_site_fract_z
Rb1 0.000 0.000 0.000
Rb2 0.500 0.500 0.000
Pr1 0.000 0.500 0.500
Er1 0.500 0.000 0.500
O1 0.240 0.000 0.679
O2 0.286 0.500 0.323
```

Summary:
Formation energy from raw total energies = -2.61 eV/atom
DOS at the Fermi energy = 0.0000 states/eV per atom

Crystalline ReHgW2 at its relaxed geometry, computed with GGA-PBE.

CIF file:
```
data_ReHgW2
_chemical_formula_sum 'Re1 Hg1 W2'
_space_group_name_H-M_alt 'P m m m'
_space_group_IT_number 47
_space_group_name_Hall '-P 2 2'
_cell_length_a 2.895
_cell_length_b 4.032
_cell_length_c 5.797
_cell_angle_alpha 90.00
_cell_angle_beta 90.00
_cell_angle_gamma 90.00
loop_
_atom_site_label
_atom_site_fract_x
_atom_site_fract_y
_atom_site_fract_z
Re1 0.000 0.000 0.000
Hg1 0.000 0.000 0.500
W1 0.500 0.500 0.218
```

Summary:
DOS at the Fermi energy = 0.6491 states/eV per atom
Uncorrected energy = -36.608 eV/cell

Crystalline BaLa2Au at its relaxed geometry, computed with GGA-PBE.

CIF file:
```
data_BaLa2Au
_chemical_formula_sum 'Ba2 La4 Au2'
_space_group_name_H-M_alt 'C 1 m 1'
_space_group_IT_number 8
_space_group_name_Hall 'C -2y'
_cell_length_a 12.809
_cell_length_b 3.907
_cell_length_c 6.869
_cell_angle_alpha 90.00
_cell_angle_beta 120.00
_cell_angle_gamma 90.00
loop_
_atom_site_label
_atom_site_fract_x
_atom_site_fract_y
_atom_site_fract_z
Ba1 0.000 0.000 0.000
La1 0.173 0.000 0.634
La2 0.388 0.000 0.404
Au1 0.220 0.500 0.013
```

Summary:
Energy relative to the lowest polymorph listed for this composition = 76 meV per atom
DOS at the Fermi energy = 1.5090 states/eV per atom

For the records above, the corresponding V values read 302.6; 629.1; 365.5; 147.1; 67.7; 297.7 Å³ per cell.